Record 1
Entry from the Alexandria database: a relaxed structure of Pu2In8Au (PBE).

## Properties
For the energy relative to the elements, the calculation gives -0.22 eV per atom.

a = 4.7595 Å, b = 4.7595 Å, c = 12.1680 Å
α = 90.00°, β = 90.00°, γ = 90.00°
Fractional positions:
Pu  0.0000  0.0000  0.1883
Pu  0.0000  0.0000  0.8117
In  0.0000  0.5000  0.0000
In  0.0000  0.5000  0.3671
In  0.0000  0.5000  0.6329
In  0.5000  0.0000  0.0000
In  0.5000  0.0000  0.3671
In  0.5000  0.0000  0.6329
In  0.5000  0.5000  0.1884
In  0.5000  0.5000  0.8116
Au  0.0000  0.0000  0.5000


Record 2
Entry from the Alexandria database: a relaxed structure of LiCeSn2S4 (PBE).

## Properties
The energy relative to the elements, uncorrected comes out at -1013.7 meV/atom.

a = 6.8697 Å, b = 4.0966 Å, c = 7.1952 Å
α = 90.00°, β = 108.59°, γ = 90.00°
Fractional positions:
Li  0.0000  0.0000  0.0000
Ce  0.5000  0.5000  0.0000
Sn  0.0000  0.5000  0.5000
Sn  0.5000  0.0000  0.5000
S  0.2482  0.5000  0.2382
S  0.2511  0.0000  0.7653
S  0.7489  0.0000  0.2347
S  0.7518  0.5000  0.7618


Record 3
Entry from the Alexandria database: a relaxed structure of TbNpSb2 (PBE).

## Properties
Its energy above the most stable polymorph in this dataset is 0.0 meV per atom. The energy relative to the elements, uncorrected comes out at -665.4 meV/atom.

a = 7.6566 Å, b = 7.6566 Å, c = 7.6566 Å
α = 33.29°, β = 33.29°, γ = 33.29°
Fractional positions:
Tb  0.0000  0.0000  0.0000
Np  0.5000  0.5000  0.5000
Sb  0.2498  0.2498  0.2498
Sb  0.7502  0.7502  0.7502


Record 4
Entry from the Alexandria database: a relaxed structure of ScSe2N2 (PBE).

## Properties
Its energy above the most stable polymorph in this dataset is 272.6 meV per atom. The energy relative to the elements, uncorrected comes out at 785.5 meV/atom.

a = 3.9078 Å, b = 3.9078 Å, c = 5.0429 Å
α = 90.00°, β = 90.00°, γ = 90.00°
Fractional positions:
Sc  0.0000  0.0000  0.0000
Se  0.5000  0.5000  0.0000
Se  0.5000  0.5000  0.5000
N  0.0000  0.5000  0.5000
N  0.5000  0.0000  0.5000


Record 5
Entry from the Alexandria database: a relaxed structure of Nb6Re2W (PBE).

## Properties
Its energy above the most stable polymorph in this dataset is 389.5 meV per atom. For the energy relative to the elements, the calculation gives 0.22 eV per atom.

a = 5.3945 Å, b = 5.3945 Å, c = 7.3473 Å
α = 115.35°, β = 115.35°, γ = 62.46°
Fractional positions:
Nb  0.1375  0.6435  0.7318
Nb  0.2710  0.2710  0.0755
Nb  0.3565  0.8625  0.2682
Nb  0.6435  0.1375  0.7318
Nb  0.7290  0.7290  0.9245
Nb  0.8625  0.3565  0.2682
Re  0.1271  0.1271  0.6752
Re  0.8729  0.8729  0.3248
W  0.5000  0.5000  0.5000


Record 6
Entry from the Alexandria database: a relaxed structure of TbCuAg2Se4 (PBE).

## Properties
The energy relative to the elements, uncorrected comes out at -553.1 meV/atom.

a = 7.1768 Å, b = 7.1768 Å, c = 12.9907 Å
α = 90.00°, β = 90.00°, γ = 147.73°
Fractional positions:
Tb  0.0929  0.9071  0.7500
Tb  0.9071  0.0929  0.2500
Cu  0.1691  0.8309  0.2500
Cu  0.8309  0.1691  0.7500
Ag  0.3715  0.6285  0.5593
Ag  0.3715  0.6285  0.9407
Ag  0.6285  0.3715  0.0593
Ag  0.6285  0.3715  0.4407
Se  0.0000  0.0000  0.0000
Se  0.0000  0.0000  0.5000
Se  0.3042  0.6958  0.1279
Se  0.3042  0.6958  0.3721
Se  0.4359  0.5641  0.7500
Se  0.5641  0.4359  0.2500
Se  0.6958  0.3042  0.6279
Se  0.6958  0.3042  0.8721


Record 7
Entry from the Alexandria database: a relaxed structure of Ca3Er4Se8 (PBE).

## Properties
The energy relative to the elements, uncorrected comes out at -1893.6 meV/atom.

a = 8.1823 Å, b = 8.1823 Å, c = 8.1527 Å
α = 119.66°, β = 119.66°, γ = 90.20°
Fractional positions:
Ca  0.0000  0.0000  0.0000
Ca  0.0000  0.5000  0.0000
Ca  0.5000  0.0000  0.0000
Er  0.0000  0.5000  0.5000
Er  0.5000  0.0000  0.5000
Er  0.5000  0.5000  0.0000
Er  0.5000  0.5000  0.5000
Se  0.2521  0.7479  0.5000
Se  0.2531  0.2531  0.5064
Se  0.2525  0.7475  0.0000
Se  0.2594  0.2594  0.0100
Se  0.7406  0.7406  0.9900
Se  0.7475  0.2525  0.0000
Se  0.7469  0.7469  0.4936
Se  0.7479  0.2521  0.5000


Record 8
Entry from the Alexandria database: a relaxed structure of SrMgHg2 (PBE).

## Properties
For the energy relative to the elements, the calculation gives 0.04 eV per atom.

a = 7.0821 Å, b = 7.0821 Å, c = 7.0821 Å
α = 146.64°, β = 133.47°, γ = 58.45°
Fractional positions:
Sr  0.0000  0.0000  0.0000
Mg  0.5000  0.5000  0.0000
Hg  0.2720  0.2720  0.0000
Hg  0.7280  0.7280  0.0000


Number 1: calculated density 9.7 g/cm3. Number 2: calculated density 4.4 g/cm3. Number 3: calculated density 8.8 g/cm3. Number 4: calculated density 5.0 g/cm3. Number 5: calculated density 11.3 g/cm3. Number 6: calculated density 7.0 g/cm3. Number 7: calculated density 6.1 g/cm3. Number 8: calculated density 6.1 g/cm3.